1.
A plane-wave DFT calculation with GGA-PBE was carried out for a relaxed structure of LiInNiOs.

extended XYZ file:
```
4
Lattice="0.000 3.032 3.032 3.032 0.000 3.032 3.032 3.032 0.000" Properties=species:S:1:pos:R:3 pbc="T T T"
Li 0.000 0.000 0.000
In 1.516 1.516 1.516
Ni 3.032 3.032 3.032
Os 4.548 4.548 4.548
```

Calculated values
* VASP energy: -5.104 eV per atom
* M_tot: 1.21 Bohr magnetons per cell

***

2.
A plane-wave DFT calculation with GGA-PBE was carried out for a relaxed structure of LiInNiPb.

extended XYZ file:
```
4
Lattice="0.000 3.409 3.409 3.409 0.000 3.409 3.409 3.409 0.000" Properties=species:S:1:pos:R:3 pbc="T T T"
Li 0.000 0.000 0.000
In 3.409 3.409 3.409
Ni 1.704 1.704 1.704
Pb 5.113 5.113 5.113
```

Calculated values
* VASP energy: -3.341 eV per atom
* M_tot: 0.00 Bohr magnetons per cell

***

3.
A plane-wave DFT calculation with GGA-PBE was carried out for a relaxed structure of LiInNiPb.

extended XYZ file:
```
4
Lattice="0.000 3.311 3.311 3.311 0.000 3.311 3.311 3.311 0.000" Properties=species:S:1:pos:R:3 pbc="T T T"
Li 0.000 0.000 0.000
In 1.655 1.655 1.655
Ni 3.311 3.311 3.311
Pb 4.966 4.966 4.966
```

Calculated values
* VASP energy: -3.563 eV per atom
* M_tot: 0.00 Bohr magnetons per cell

***

4.
A plane-wave DFT calculation with GGA-PBE was carried out for a relaxed structure of Li2Sc2In2NiPd.

extended XYZ file:
```
8
Lattice="4.568 0.000 0.000 0.000 4.568 0.000 0.000 0.000 6.496" Properties=species:S:1:pos:R:3 pbc="T T T"
Li 0.000 0.000 0.000
Li 2.284 2.284 3.248
Sc 0.000 2.284 4.819
Sc 2.284 0.000 1.677
In 0.000 2.284 1.700
In 2.284 0.000 4.796
Ni 0.000 0.000 3.248
Pd 2.284 2.284 0.000
```

Calculated values
* VASP energy: -4.607 eV per atom
* M_tot: 0.00 Bohr magnetons per cell